No. 1
A geometry-optimized Li2InCoTe structure. Source: Alexandria via LeMat-Bulk, functional PBE.

The space group is P4/mmm (No. 123) and the conventional cell measures 4.8565, 4.8565 and 4.9089 Å, with angles of 90.00, 90.00 and 90.00 degrees. The inequivalent atoms are Li at (0.0000, 0.5000, 0.0000), In at (0.0000, 0.0000, 0.5000), Co at (0.0000, 0.0000, 0.0000) and Te at (0.5000, 0.5000, 0.5000).

The density comes out at 4.52 g/cm³. The calculation puts the total energy at -0.11663 hartree per atom. For the uncorrected formation energy, the calculation gives 189.0 meV per atom.



No. 2
A geometry-optimized LiThInCo structure. Source: Alexandria via LeMat-Bulk, functional PBE.

The space group is F-43m (No. 216) and the conventional cell measures 6.7285, 6.7285 and 6.7285 Å, with angles of 90.00, 90.00 and 90.00 degrees. The inequivalent atoms are Li at (0.0000, 0.0000, 0.0000), Th at (0.2500, 0.2500, 0.7500), In at (0.2500, 0.2500, 0.2500) and Co at (0.0000, 0.0000, 0.5000).

As for the formation energy from the elements: -0.185 eV/atom. The density comes out at 9.00 g/cm³. The calculation puts the total energy at -0.18299 hartree per atom.



No. 3
A geometry-optimized LiIn2CoW structure. Source: Alexandria via LeMat-Bulk, functional PBE.

The space group is P4/mmm (No. 123) and the conventional cell measures 4.8770, 4.8770 and 4.5838 Å, with angles of 90.00, 90.00 and 90.00 degrees. The inequivalent atoms are Li at (0.0000, 0.0000, 0.0000), In at (0.0000, 0.5000, 0.5000), Co at (0.5000, 0.5000, 0.5000) and W at (0.5000, 0.5000, 0.0000).

As for the formation energy from the elements: 0.678 eV/atom. The density comes out at 7.30 g/cm³. The calculation puts the total energy at -0.17684 hartree per atom.



No. 4
A geometry-optimized LiInCoW2 structure. Source: Alexandria via LeMat-Bulk, functional PBE.

The space group is P4/mmm (No. 123) and the conventional cell measures 4.5095, 4.5095 and 4.3223 Å, with angles of 90.00, 90.00 and 90.00 degrees. The inequivalent atoms are Li at (0.0000, 0.0000, 0.0000), In at (0.5000, 0.5000, 0.0000), Co at (0.0000, 0.0000, 0.5000) and W at (0.0000, 0.5000, 0.5000).

As for the formation energy from the elements: 1.024 eV/atom. The density comes out at 10.36 g/cm³. The calculation puts the total energy at -0.23921 hartree per atom.



No. 5
A geometry-optimized LiZnIn2Co structure. Source: Alexandria via LeMat-Bulk, functional PBE.

The space group is P4/mmm (No. 123) and the conventional cell measures 4.8870, 4.8870 and 4.6814 Å, with angles of 90.00, 90.00 and 90.00 degrees. The inequivalent atoms are Li at (0.0000, 0.0000, 0.0000), Zn at (0.5000, 0.5000, 0.0000), In at (0.0000, 0.5000, 0.5000) and Co at (0.5000, 0.5000, 0.5000).

As for the formation energy from the elements: 0.045 eV/atom. The density comes out at 5.36 g/cm³. The calculation puts the total energy at -0.11425 hartree per atom.



No. 6
A geometry-optimized LiZrInCo structure. Source: Alexandria via LeMat-Bulk, functional PBE.

The space group is F-43m (No. 216) and the conventional cell measures 6.3670, 6.3670 and 6.3670 Å, with angles of 90.00, 90.00 and 90.00 degrees. The inequivalent atoms are Li at (0.0000, 0.0000, 0.0000), Zr at (0.2500, 0.2500, 0.7500), In at (0.2500, 0.2500, 0.2500) and Co at (0.0000, 0.0000, 0.5000).

As for the formation energy from the elements: -0.239 eV/atom. The density comes out at 7.00 g/cm³. The calculation puts the total energy at -0.19533 hartree per atom.